A relaxed structure of SiTcNi2, computed with PBEsol.

a b c (Å): 4.7357 4.7357 4.7357
angles (deg): 144.98 129.98 62.51
Fractional coordinates of all 4 atoms:
Si 0.0000 0.0000 0.0000
Tc 0.5000 0.5000 0.0000
Ni 0.2303 0.7303 0.5000
Ni 0.7697 0.2697 0.5000

Output
SG: Immm, No. 71
Total energy in eV/atom: -7.6132

=====

A relaxed structure of ThSi2Ni, computed with PBEsol.

a b c (Å): 8.3892 8.3892 4.0668
angles (deg): 90.00 90.00 151.70
Fractional coordinates of all 8 atoms:
Th 0.1060 0.8940 0.7500
Th 0.8940 0.1060 0.2500
Si 0.2491 0.7509 0.2500
Si 0.4605 0.5395 0.7500
Si 0.5395 0.4605 0.2500
Si 0.7509 0.2491 0.7500
Ni 0.3195 0.6805 0.7500
Ni 0.6805 0.3195 0.2500

Output
SG: Cmcm, No. 63
Total energy in eV/atom: -7.3638

=====

A relaxed structure of Ti2SiNi3, computed with PBEsol.

a b c (Å): 4.7617 4.7617 7.4525
angles (deg): 90.00 90.00 120.00
Fractional coordinates of all 12 atoms:
Ti 0.3333 0.6667 0.0538
Ti 0.3333 0.6667 0.4462
Ti 0.6667 0.3333 0.5538
Ti 0.6667 0.3333 0.9462
Si 0.0000 0.0000 0.0000
Si 0.0000 0.0000 0.5000
Ni 0.1696 0.3392 0.7500
Ni 0.1696 0.8304 0.7500
Ni 0.3392 0.1696 0.2500
Ni 0.6608 0.8304 0.7500
Ni 0.8304 0.1696 0.2500
Ni 0.8304 0.6608 0.2500

Output
SG: P6_3/mmc, No. 194
Total energy in eV/atom: -7.4777

=====

A relaxed structure of Tl2SiNi, computed with PBEsol.

a b c (Å): 8.1813 8.1813 8.1813
angles (deg): 23.75 23.75 23.75
Fractional coordinates of all 4 atoms:
Tl 0.2419 0.2419 0.2419
Tl 0.7581 0.7581 0.7581
Si 0.0000 0.0000 0.0000
Ni 0.5000 0.5000 0.5000

Output
Energy relative to the lowest polymorph listed for this composition in eV/atom: 0.438
SG: R-3m, No. 166
Total energy in eV/atom: -3.8180

=====

A relaxed structure of Tl2SiNi, computed with PBEsol.

a b c (Å): 6.6921 6.6921 6.6921
angles (deg): 153.52 142.09 46.83
Fractional coordinates of all 4 atoms:
Tl 0.0000 0.0000 0.0000
Tl 0.6959 0.1959 0.5000
Si 0.3726 0.3726 0.0000
Ni 0.2366 0.7366 0.5000

Output
Energy relative to the lowest polymorph listed for this composition in eV/atom: 0.180
SG: Imm2, No. 44
Total energy in eV/atom: -4.0762

=====

A relaxed structure of Tl2SiNi2, computed with PBEsol.

a b c (Å): 5.9242 5.9242 5.9242
angles (deg): 129.32 129.32 74.50
Fractional coordinates of all 5 atoms:
Tl 0.2500 0.7500 0.5000
Tl 0.7500 0.2500 0.5000
Si 0.0000 0.0000 0.0000
Ni 0.2195 0.2195 0.0000
Ni 0.7805 0.7805 0.0000

Output
SG: I4/mmm, No. 139
Total energy in eV/atom: -4.2251

=====

A relaxed structure of Tl2SiNi, computed with PBEsol.

a b c (Å): 3.0865 3.0865 8.5681
angles (deg): 90.00 90.00 90.00
Fractional coordinates of all 4 atoms:
Tl 0.0000 0.0000 0.0000
Tl 0.5000 0.5000 0.3692
Si 0.5000 0.5000 0.7244
Ni 0.0000 0.0000 0.6299

Output
Energy relative to the lowest polymorph listed for this composition in eV/atom: 0.000
SG: P4mm, No. 99
Total energy in eV/atom: -4.2559

=====

A relaxed structure of TmSi2Ni10, computed with PBEsol.

a b c (Å): 8.0370 8.0370 4.6045
angles (deg): 90.00 90.00 90.00
Fractional coordinates of all 26 atoms:
Tm 0.2500 0.2500 0.2209
Tm 0.7500 0.7500 0.7791
Si 0.0000 0.0000 0.5000
Si 0.0000 0.5000 0.5000
Si 0.5000 0.0000 0.5000
Si 0.5000 0.5000 0.5000
Ni 0.0000 0.0000 0.0000
Ni 0.0000 0.5000 0.0000
Ni 0.0282 0.2500 0.7305
Ni 0.1028 0.7500 0.7606
Ni 0.2500 0.0282 0.7305
Ni 0.2500 0.4718 0.7305
Ni 0.2500 0.6028 0.2394
Ni 0.2500 0.8972 0.2394
Ni 0.3972 0.7500 0.7606
Ni 0.4718 0.2500 0.7305
Ni 0.5000 0.0000 0.0000
Ni 0.5000 0.5000 0.0000
Ni 0.5282 0.7500 0.2695
Ni 0.6028 0.2500 0.2394
Ni 0.7500 0.1028 0.7606
Ni 0.7500 0.3972 0.7606
Ni 0.7500 0.5282 0.2695
Ni 0.7500 0.9718 0.2695
Ni 0.8972 0.2500 0.2394
Ni 0.9718 0.7500 0.2695

Output
SG: P4/nmm, No. 129
Total energy in eV/atom: -6.4858